# 1
A plane-wave DFT calculation with GGA-PBE was carried out for a relaxed structure of ScAl2.

a = 5.695 Å, b = 5.695 Å, c = 4.476 Å
α = 90.00°, β = 90.00°, γ = 50.78°
Positions (direct):
Sc1 0.231 0.769 0.750
Sc2 0.769 0.231 0.250
Al1 0.138 0.495 0.250
Al2 0.495 0.138 0.750
Al3 0.505 0.862 0.250
Al4 0.862 0.505 0.750

Values from the calculation:
- space group = Cmcm, No. 63
- total DFT energy (no corrections) (eV/cell) = -29.22
- formation enthalpy at 0 K (kJ per mole of atoms) = -25.6

=====

# 2
A plane-wave DFT calculation with GGA-PBE was carried out for a relaxed structure of Sc2Al3.

a = 4.656 Å, b = 4.656 Å, c = 5.777 Å
α = 90.00°, β = 90.00°, γ = 120.00°
Positions (direct):
Sc1 0.333 0.667 0.339
Sc2 0.667 0.333 0.661
Al1 0.000 0.000 0.500
Al2 0.333 0.667 0.853
Al3 0.667 0.333 0.147

Values from the calculation:
- space group = P-3m1, No. 164
- total DFT energy (no corrections) (eV/cell) = -24.47
- formation enthalpy at 0 K (kJ per mole of atoms) = -11.1

=====

# 3
A plane-wave DFT calculation with GGA-PBE was carried out for a relaxed structure of ScAl4.

a = 5.462 Å, b = 5.462 Å, c = 5.462 Å
α = 109.47°, β = 109.47°, γ = 109.47°
Positions (direct):
Sc1 0.000 0.000 0.000
Al1 0.000 0.000 0.500
Al2 0.000 0.500 0.000
Al3 0.500 0.000 0.000
Al4 0.500 0.500 0.500

Values from the calculation:
- space group = Im-3m, No. 229
- E above lowest polymorph (meV/atom) = 574
- total DFT energy (no corrections) (eV/cell) = -18.93
- formation enthalpy at 0 K (kJ per mole of atoms) = 45.7

=====

# 4
A plane-wave DFT calculation with GGA-PBE was carried out for a relaxed structure of Sc2Al.

a = 3.180 Å, b = 3.180 Å, c = 15.333 Å
α = 90.00°, β = 90.00°, γ = 120.00°
Positions (direct):
Sc1 0.000 0.000 0.099
Sc2 0.000 0.000 0.401
Sc3 0.000 0.000 0.599
Sc4 0.000 0.000 0.901
Al1 0.333 0.667 0.250
Al2 0.667 0.333 0.750

Values from the calculation:
- space group = P6_3/mmc, No. 194
- total DFT energy (no corrections) (eV/cell) = -32.87
- formation enthalpy at 0 K (kJ per mole of atoms) = -0.9

=====

# 5
A plane-wave DFT calculation with GGA-PBE was carried out for a relaxed structure of Sc2Al.

a = 5.727 Å, b = 5.727 Å, c = 7.399 Å
α = 110.31°, β = 110.31°, γ = 34.47°
Positions (direct):
Sc1 0.000 0.000 0.000
Sc2 0.000 0.000 0.498
Sc3 0.308 0.308 0.183
Sc4 0.691 0.691 0.815
Al1 0.337 0.337 0.642
Al2 0.664 0.664 0.358

Values from the calculation:
- space group = Cm, No. 8
- total DFT energy (no corrections) (eV/cell) = -34.02
- formation enthalpy at 0 K (kJ per mole of atoms) = -19.4

=====

# 6
A plane-wave DFT calculation with GGA-PBE was carried out for a relaxed structure of Sc3Al5.

a = 5.745 Å, b = 5.745 Å, c = 9.343 Å
α = 90.00°, β = 90.00°, γ = 77.76°
Positions (direct):
Sc1 0.114 0.886 0.750
Sc2 0.294 0.294 0.000
Sc3 0.294 0.294 0.500
Sc4 0.706 0.706 0.000
Sc5 0.706 0.706 0.500
Sc6 0.886 0.114 0.250
Al1 0.002 0.430 0.750
Al2 0.194 0.806 0.049
Al3 0.194 0.806 0.451
Al4 0.430 0.002 0.250
Al5 0.495 0.505 0.250
Al6 0.505 0.495 0.750
Al7 0.570 0.998 0.750
Al8 0.806 0.194 0.549
Al9 0.806 0.194 0.951
Al10 0.998 0.570 0.250

Values from the calculation:
- space group = Cmcm, No. 63
- E above lowest polymorph (meV/atom) = 0
- total DFT energy (no corrections) (eV/cell) = -82.44
- formation enthalpy at 0 K (kJ per mole of atoms) = -42.4

=====

Record order is preserved below.
Fermi-level density of states: 0.8802 0.4821 1.3492 1.4138 1.0446 0.5931 states/eV/atom